1.
A plane-wave DFT calculation with GGA-PBE was carried out for crystalline CsGaSe2 at its relaxed geometry.

a b c (Å): 6.327 6.327 3.110
angles (deg): 90.00 90.00 90.00
Space group P4/mmm (No. 123)
One atom of each set of equivalent atoms:
Cs1 0.000 0.000 0.000
Ga1 0.500 0.500 0.000
Se1 0.000 0.500 0.500

- DOS at the Fermi energy: 1.586 states/eV/f.u.
- Formation energy from raw total energies: -0.17 eV per atom
- Crystal system: tetragonal
- Energy: -2.8790 eV per atom



2.
A plane-wave DFT calculation with GGA-PBE was carried out for crystalline KAg10Pd2 at its relaxed geometry.

a b c (Å): 5.551 13.395 13.704
angles (deg): 90.00 90.00 90.00
Space group Fmmm (No. 69)
One atom of each set of equivalent atoms:
K1 0.000 0.000 0.000
Ag1 0.000 0.111 0.386
Ag2 0.000 0.173 0.178
Ag3 0.250 0.250 0.000
Pd1 0.250 0.000 0.250

- DOS at the Fermi energy: 3.967 states/eV/f.u.
- Crystal system: orthorhombic
- Energy: -3.0669 eV per atom



3.
A plane-wave DFT calculation with GGA-PBE was carried out for crystalline NdHo2OsN4 at its relaxed geometry.

a b c (Å): 3.432 11.690 11.628
angles (deg): 90.00 90.00 90.00
Space group Cmcm (No. 63)
One atom of each set of equivalent atoms:
Nd1 0.000 0.120 0.250
Ho1 0.000 0.369 0.041
Os1 0.000 0.143 0.750
N1 0.000 0.000 0.000
N2 0.000 0.266 0.627
N3 0.000 0.442 0.250

- DOS at the Fermi energy: 2.692 states/eV/f.u.
- Formation energy from raw total energies: -0.97 eV per atom
- Crystal system: orthorhombic
- Energy: -8.2764 eV per atom



Number 1: density 4.81 g/cm³. Number 2: density 8.67 g/cm³. Number 3: density 10.26 g/cm³.